Material: Ba2LiW3O12
Method: DFT, PBE with a Hubbard U
State: optimized geometry

abc: 7.199 7.199 7.199
angles: 62.64 62.64 62.64
Fractional coordinates of all 18 atoms:
Ba 0.127 0.127 0.127
Ba 0.873 0.873 0.873
Li 0.500 0.500 0.500
W 0.000 0.500 0.500
W 0.500 0.000 0.500
W 0.500 0.500 0.000
O 0.085 0.622 0.622
O 0.215 0.215 0.594
O 0.215 0.594 0.215
O 0.378 0.378 0.915
O 0.378 0.915 0.378
O 0.406 0.785 0.785
O 0.594 0.215 0.215
O 0.622 0.085 0.622
O 0.622 0.622 0.085
O 0.785 0.406 0.785
O 0.785 0.785 0.406
O 0.915 0.378 0.378

Summary:
- Spin magnetization: 1.078 μB/f.u.
- E_tot: -124.7 eV/f.u.